## HfCu2TeSeS (PBE)

Data for a geometry-optimized HfCu2TeSeS structure.

Results
For the total moment, the calculation gives 0.0008 μB/atom. The calculation puts the total energy at -5.392 eV/atom.

Cell: 10.0051 10.0051 7.1820 Å, 99.73 99.73 22.58°
Positions (direct):
Hf1 0.1398 0.1398 0.0448
Hf2 0.8602 0.8602 0.9552
Cu1 0.2072 0.2072 0.4276
Cu2 0.4527 0.4527 0.8356
Cu3 0.5473 0.5473 0.1644
Cu4 0.7928 0.7928 0.5724
Te1 0.2497 0.2497 0.7857
Te2 0.7503 0.7503 0.2143
Se1 0.4210 0.4210 0.1653
Se2 0.5790 0.5790 0.8347
S1 0.0878 0.0878 0.3249
S2 0.9122 0.9122 0.6751